(1)
First-principles (PBE) data for AcHf2PdO8 after structural relaxation, as listed in Alexandria via LeMat-Bulk.

Computed properties:
DOS at the Fermi energy in states/eV/atom: 0.532
Magnetization in μB per cell: 0.00
E_form (uncorrected) in eV/f.u.: -28.50

abc: 4.984 4.969 6.729
angles: 90.00 90.00 88.26
Fractional positions:
O: 0.701 0.708 0.000
O: 0.203 0.789 0.208
O: 0.203 0.789 0.792
O: 0.661 0.673 0.500
O: 0.797 0.211 0.792
O: 0.299 0.292 0.000
O: 0.797 0.211 0.208
O: 0.339 0.327 0.500
Pd: 0.000 0.000 0.000
Ac: 0.000 0.000 0.500
Hf: 0.500 0.500 0.243
Hf: 0.500 0.500 0.757

=====

(2)
First-principles (PBE) data for Co2AgCl after structural relaxation, as listed in Alexandria via LeMat-Bulk.

Computed properties:
DOS at the Fermi energy in states/eV/atom: 0.920
Magnetization in μB per cell: 3.72
E_form (uncorrected) in eV/f.u.: 0.81

abc: 2.979 3.062 7.071
angles: 89.76 90.00 90.00
Each line ends with the local moment (μB).
Fractional positions:
Ag: 0.000 0.747 0.452  -0.01
Co: 0.000 0.751 0.049  1.91
Co: 0.500 0.249 0.207  1.81
Cl: 0.500 0.754 0.792  0.08

=====

(3)
First-principles (PBE) data for RbCoRu after structural relaxation, as listed in Alexandria via LeMat-Bulk.

Computed properties:
DOS at the Fermi energy in states/eV/atom: 1.626
Magnetization in μB per cell: 0.00
E_form in eV/atom: 1.0083

abc: 3.874 3.874 5.870
angles: 90.00 90.00 120.00
Fractional positions:
Ru: 0.333 0.667 0.000
Rb: 0.667 0.333 0.500
Co: 0.000 0.000 0.000

=====

(4)
First-principles (PBE) data for CaCe2TmSb4 after structural relaxation, as listed in Alexandria via LeMat-Bulk.

Computed properties:
DOS at the Fermi energy in states/eV/atom: 1.102
Magnetization in μB per cell: 0.99
E_form (uncorrected) in eV/f.u.: -8.15

abc: 4.483 7.645 7.788
angles: 70.36 90.00 90.00
Each line ends with the local moment (μB).
Fractional positions:
Sb: 0.500 0.254 0.743  -0.02
Sb: 0.000 0.248 0.257  -0.02
Sb: 0.500 0.746 0.257  -0.02
Sb: 0.000 0.752 0.743  -0.02
Tm: 0.000 0.500 0.500  -0.02
Ce: 0.500 0.000 0.500  0.43
Ce: 0.000 0.000 0.000  0.65
Ca: 0.500 0.500 0.000  -0.01

=====

(5)
First-principles (PBE) data for Mg2PBr after structural relaxation, as listed in Alexandria via LeMat-Bulk.

Computed properties:
DOS at the Fermi energy in states/eV/atom: 0.416
Magnetization in μB per cell: 0.00
E_form (uncorrected) in eV/f.u.: -1.09

abc: 6.835 6.835 6.835
angles: 147.78 147.78 46.22
Fractional positions:
Mg: 0.000 0.000 0.000
Mg: 0.250 0.750 0.500
P: 0.500 0.500 0.000
Br: 0.750 0.250 0.500

=====

(6)
First-principles (PBE) data for Pr6HoEr3 after structural relaxation, as listed in Alexandria via LeMat-Bulk.

Computed properties:
DOS at the Fermi energy in states/eV/atom: 1.403
Magnetization in μB per cell: 0.01
E_form in eV/atom: 0.1405

abc: 6.423 11.168 11.168
angles: 121.25 90.00 90.00
Fractional positions:
Er: 0.973 0.053 0.282
Er: 0.973 0.718 0.947
Er: 0.473 0.947 0.718
Er: 0.584 0.613 0.387
Er: 0.473 0.282 0.053
Er: 0.084 0.387 0.613
Pr: 0.888 0.034 0.966
Pr: 0.548 0.285 0.371
Pr: 0.852 0.937 0.514
Pr: 0.388 0.966 0.034
Pr: 0.352 0.063 0.486
Pr: 0.661 0.282 0.718
Pr: 0.548 0.629 0.715
Pr: 0.048 0.371 0.285
Pr: 0.048 0.715 0.629
Pr: 0.352 0.514 0.937
Pr: 0.852 0.486 0.063
Pr: 0.161 0.718 0.282
Ho: 0.606 0.808 0.192
Ho: 0.106 0.192 0.808

=====

(7)
First-principles (PBE) data for Cr2IrPt after structural relaxation, as listed in Alexandria via LeMat-Bulk.

Computed properties:
DOS at the Fermi energy in states/eV/atom: 1.061
Magnetization in μB per cell: 0.66
E_form in eV/atom: -0.1647

abc: 4.612 4.612 2.669
angles: 90.00 90.00 109.28
Each line ends with the local moment (μB).
Fractional positions:
Pt: 0.000 0.500 0.500  -0.01
Cr: 0.000 0.000 0.000  0.35
Cr: 0.500 0.500 0.000  0.35
Ir: 0.500 0.000 0.500  -0.06

=====

(8)
First-principles (PBE) data for Zn2Bi2Ir after structural relaxation, as listed in Alexandria via LeMat-Bulk.

Computed properties:
DOS at the Fermi energy in states/eV/atom: 0.635
Magnetization in μB per cell: 0.00
E_form in eV/atom: 0.2643

abc: 6.704 6.704 4.753
angles: 90.00 90.00 90.00
Fractional positions:
Zn: 0.142 0.358 0.000
Zn: 0.358 0.858 0.000
Zn: 0.642 0.142 0.000
Zn: 0.858 0.642 0.000
Ir: 0.000 0.000 0.000
Ir: 0.500 0.500 0.000
Bi: 0.679 0.821 0.500
Bi: 0.821 0.321 0.500
Bi: 0.179 0.679 0.500
Bi: 0.321 0.179 0.500

=====

(9)
First-principles (PBE) data for SrCa2Tl2 after structural relaxation, as listed in Alexandria via LeMat-Bulk.

Computed properties:
DOS at the Fermi energy in states/eV/atom: 0.833
Magnetization in μB per cell: 0.00
E_form in eV/atom: -0.3349

abc: 4.019 5.757 14.781
angles: 90.00 97.85 90.00
Fractional positions:
Tl: 0.544 0.250 0.087
Tl: 0.357 0.250 0.715
Tl: 0.643 0.750 0.285
Tl: 0.456 0.750 0.913
Ca: 0.952 0.250 0.904
Ca: 0.231 0.750 0.461
Ca: 0.769 0.250 0.539
Ca: 0.048 0.750 0.096
Sr: 0.142 0.250 0.284
Sr: 0.858 0.750 0.716